[1]
AgO6F2: optimized geometry, PBE.

a = 3.417 Å, b = 6.535 Å, c = 6.616 Å
α = 98.95°, β = 93.87°, γ = 93.86°
Sites, in units of the cell vectors:
Ag (0.000, 0.000, 0.000)
O (0.069, 0.308, 0.539)
O (0.069, 0.537, 0.310)
O (0.128, 0.657, 0.654)
O (0.872, 0.343, 0.346)
O (0.931, 0.463, 0.690)
O (0.931, 0.692, 0.461)
F (0.499, 0.869, 0.121)
F (0.501, 0.131, 0.879)

Results
Formation energy (no corrections) = -4.7 meV per atom

***

[2]
TbPmNd2H: optimized geometry, PBE.

a = 5.144 Å, b = 5.144 Å, c = 5.094 Å
α = 90.00°, β = 90.00°, γ = 90.00°
Sites, in units of the cell vectors:
Tb (0.000, 0.000, 0.000)
Pm (0.500, 0.500, 0.000)
Nd (0.000, 0.500, 0.500)
Nd (0.500, 0.000, 0.500)
H (0.000, 0.000, 0.500)

Results
Total energy = -4.63 eV/atom

***

[3]
K4InPb: optimized geometry, PBE.

a = 7.169 Å, b = 7.169 Å, c = 7.169 Å
α = 60.00°, β = 60.00°, γ = 60.00°
Sites, in units of the cell vectors:
K (0.125, 0.125, 0.125)
K (0.125, 0.125, 0.626)
K (0.125, 0.626, 0.125)
K (0.626, 0.125, 0.125)
In (0.500, 0.500, 0.500)
Pb (0.750, 0.750, 0.750)

Results
E_form = 220 meV/atom

***

[4]
Sr2CoCl6: optimized geometry, PBE.

a = 6.443 Å, b = 6.443 Å, c = 12.585 Å
α = 90.00°, β = 90.00°, γ = 90.00°
Sites, in units of the cell vectors:
Sr (0.000, 0.000, 0.167)
Sr (0.000, 0.000, 0.833)
Sr (0.500, 0.500, 0.333)
Sr (0.500, 0.500, 0.667)
Co (0.000, 0.000, 0.500)
Co (0.500, 0.500, 0.000)
Cl (0.183, 0.183, 0.355)
Cl (0.183, 0.183, 0.645)
Cl (0.225, 0.225, 0.000)
Cl (0.275, 0.725, 0.500)
Cl (0.317, 0.683, 0.145)
Cl (0.317, 0.683, 0.855)
Cl (0.683, 0.317, 0.145)
Cl (0.683, 0.317, 0.855)
Cl (0.725, 0.275, 0.500)
Cl (0.775, 0.775, 0.000)
Cl (0.817, 0.817, 0.355)
Cl (0.817, 0.817, 0.645)

Results
Formation energy (no corrections) = -1761.2 meV per atom
ΔE to the lowest computed polymorph = 0.0274 eV/atom

***

[5]
Rb2SO5: optimized geometry, PBE.

a = 6.952 Å, b = 6.952 Å, c = 11.437 Å
α = 90.00°, β = 90.00°, γ = 147.19°
Sites, in units of the cell vectors:
Rb (0.135, 0.865, 0.582)
Rb (0.135, 0.865, 0.918)
Rb (0.865, 0.135, 0.082)
Rb (0.865, 0.135, 0.418)
S (0.147, 0.853, 0.250)
S (0.853, 0.147, 0.750)
O (0.064, 0.936, 0.153)
O (0.064, 0.936, 0.347)
O (0.231, 0.769, 0.151)
O (0.231, 0.769, 0.349)
O (0.347, 0.653, 0.750)
O (0.653, 0.347, 0.250)
O (0.769, 0.231, 0.651)
O (0.769, 0.231, 0.849)
O (0.936, 0.064, 0.653)
O (0.936, 0.064, 0.847)

Results
Formation energy (no corrections) = -866.1 meV per atom

***

[6]
RbLaHg3: optimized geometry, PBE.

a = 5.899 Å, b = 5.899 Å, c = 5.899 Å
α = 90.00°, β = 90.00°, γ = 90.00°
Sites, in units of the cell vectors:
Rb (0.000, 0.000, 0.000)
La (0.500, 0.500, 0.500)
Hg (0.000, 0.000, 0.500)
Hg (0.000, 0.500, 0.000)
Hg (0.500, 0.000, 0.000)

Results
ΔE to the lowest computed polymorph = 0.4440 eV/atom
E_form = 448 meV/atom